A geometry-optimized K2CoF6 structure. Source: Alexandria via LeMat-Bulk, functional GGA+U.

Structure (POSCAR):
```
K2CoF6
1.0
-5.475 1.287 1.396
1.915 -5.342 4.078
2.451 4.823 5.167
F Co K
12 2 4
direct
0.124 0.767 0.032
0.624 0.955 0.287
0.726 0.516 0.110
0.226 0.016 0.390
0.624 0.267 0.468
0.376 0.733 0.532
0.774 0.984 0.610
0.124 0.455 0.213
0.876 0.545 0.787
0.876 0.233 0.968
0.376 0.045 0.713
0.274 0.484 0.890
0.500 0.000 0.500
0.000 0.500 0.000
0.864 0.682 0.428
0.136 0.318 0.572
0.636 0.818 0.928
0.364 0.182 0.072
```

Computed properties:
Magnetization: 2.01 μB per cell
Calculated volume: 16.12 Å³/atom
Uncorrected energy: -4.316 eV/atom